# 1
DFT (PBE) results for crystalline SrVN at its relaxed geometry.

Summary:
Spin magnetization: 0.0 μB/cell
Crystal system: monoclinic
Formation energy without anion corrections: -0.738 eV per atom

a b c (Å): 3.3249 3.8735 9.3246
angles (deg): 90.00 90.18 90.00
Last column: nearest neighbours and their distance in Å.
Space group P2_1/m (No. 11)
Asymmetric unit:
Sr (0.2473, 0.2500, 0.1972) (multiplicity 2)  2 N 2.64
V (0.2504, 0.2500, 0.5428) (multiplicity 2)  4 N 1.97-2.03
N (0.2508, 0.7500, 0.5826) (multiplicity 2)  4 V 1.97-2.03

***

# 2
DFT (PBE) results for crystalline Sr3VN at its relaxed geometry.

Summary:
Spin magnetization: 5.6 μB/cell
Crystal system: cubic
Formation energy without anion corrections: 0.169 eV per atom

a b c (Å): 5.3092 5.3092 5.3092
angles (deg): 90.00 90.00 90.00
Last column: nearest neighbours and their distance in Å.
Space group Pm-3m (No. 221)
Asymmetric unit:
Sr (0.0000, 0.0000, 0.5000) (multiplicity 3)  2 N 2.65
V (0.5000, 0.5000, 0.5000) (multiplicity 1)  12 Sr 3.75
N (0.0000, 0.0000, 0.0000) (multiplicity 1)  6 Sr 2.65

***

# 3
DFT (PBE) results for crystalline Sr2VN2 at its relaxed geometry.

Summary:
Spin magnetization: 0.0 μB/cell
Crystal system: orthorhombic
Formation energy without anion corrections: -0.760 eV per atom

a b c (Å): 5.2845 11.5830 12.8981
angles (deg): 90.00 90.00 90.00
Last column: nearest neighbours and their distance in Å.
Space group Cmce (No. 64)
Asymmetric unit:
Sr (0.0000, 0.0425, 0.1481) (multiplicity 8)  4 N 2.60-2.79
Sr (0.0000, 0.1489, 0.5596) (multiplicity 8)  5 N 2.66-2.89
V (0.0000, 0.2310, 0.3209) (multiplicity 8)  2 N 1.77-1.78
N (0.0000, 0.0840, 0.3608) (multiplicity 8)  1 V 1.78
N (0.0000, 0.1673, 0.9233) (multiplicity 8)  1 V 1.77

***

# 4
DFT (PBE) results for crystalline SrVN at its relaxed geometry.

Summary:
Spin magnetization: 0.6 μB/cell
Crystal system: monoclinic
Formation energy without anion corrections: -0.432 eV per atom

a b c (Å): 5.5815 10.7462 4.1578
angles (deg): 90.00 115.36 90.00
Last column: nearest neighbours and their distance in Å.
Space group C2 (No. 5)
Asymmetric unit:
Sr (0.0000, 0.0000, 0.0000) (multiplicity 2)  4 N 2.82-2.83
Sr (0.0000, 0.3327, 0.0000) (multiplicity 2)  4 N 2.67
V (0.1228, 0.6828, 0.3193) (multiplicity 4)  2 N 1.91-1.92
N (0.0000, 0.1767, 0.5000) (multiplicity 2)  2 V 1.91
N (0.0000, 0.8213, 0.5000) (multiplicity 2)  2 V 1.92

***

# 5
DFT (PBE) results for crystalline Sr3VN3 at its relaxed geometry.

Summary:
Spin magnetization: 0.0 μB/cell
Crystal system: orthorhombic
Formation energy without anion corrections: -0.822 eV per atom

a b c (Å): 16.8547 3.5454 10.8702
angles (deg): 90.00 90.00 90.00
Last column: nearest neighbours and their distance in Å.
Space group Pnma (No. 62)
Asymmetric unit:
Sr (0.0707, 0.2500, 0.1069) (multiplicity 4)  4 N 2.58-2.73
Sr (0.1167, 0.7500, 0.4816) (multiplicity 4)  2 N 2.53
Sr (0.1714, 0.7500, 0.8051) (multiplicity 4)  2 N 2.58
V (0.0299, 0.2500, 0.7024) (multiplicity 4)  2 N 1.75-1.79
N (0.0142, 0.2500, 0.3427) (multiplicity 4)  2 V 1.98
N (0.0394, 0.2500, 0.8664) (multiplicity 4)  1 V 1.79
N (0.1276, 0.2500, 0.6471) (multiplicity 4)  1 V 1.75

***

# 6
DFT (PBE) results for crystalline SrVN at its relaxed geometry.

Summary:
Spin magnetization: 0.9 μB/cell
Crystal system: triclinic
Formation energy without anion corrections: -0.450 eV per atom

a b c (Å): 3.2444 5.5082 6.3408
angles (deg): 81.60 89.75 90.00
Last column: nearest neighbours and their distance in Å.
Space group P-1 (No. 2)
Asymmetric unit:
Sr (0.0031, 0.2122, 0.1912) (multiplicity 2)  3 N 2.68-2.69
V (0.4992, 0.3011, 0.6089) (multiplicity 2)  3 N 1.89-2.02
N (0.0000, 0.5000, 0.5000) (multiplicity 1)  4 V 2.02
N (0.5000, 0.0000, 0.5000) (multiplicity 1)  2 V 1.89